Material: Rb2GeWF
Method: DFT, PBE with a Hubbard U
State: relaxed

Total magnetic moment ... 6.1 μB/f.u.
DFT total energy ... -3.0028 eV/atom

Unit cell a=7.1025 b=7.1025 c=4.2631 alpha=90.00 beta=90.00 gamma=90.00
With the nearest neighbours (Å) after each atom.
Element x y z (fractional)
1 Rb 0.0000 0.5000 0.0000  2 W 3.55
2 Rb 0.5000 0.0000 0.0000  2 W 3.55
3 Ge 0.0000 0.0000 0.5000  8 Rb 4.14, 2 Ge 4.26
4 W 0.5000 0.5000 0.0000  2 F 2.13
5 F 0.5000 0.5000 0.5000  2 W 2.13